Material: TaCr2Co
Method: DFT, GGA-PBEsol
State: relaxed

Summary:
- E above lowest polymorph: 0.0 meV/atom
- N(E_F): 2.65 states/eV/f.u.
- Total energy: -10.14 eV/atom
- DFT formation energy: 0.0555 eV/atom

a b c (Å): 3.003 4.068 4.159
angles (deg): 90.00 90.00 90.00
Fractional coordinates of all 4 atoms:
Ta 0.000 0.000 0.000
Cr 0.000 0.500 0.500
Cr 0.500 0.000 0.500
Co 0.500 0.500 0.000